a:
Here is a relaxed YAgP2S crystal from Alexandria via LeMat-Bulk. Energies are from PBE.

Unit cell a=5.3157 b=5.3157 c=5.1731 alpha=90.00 beta=90.00 gamma=90.00
Last column: nearest neighbours and their distance in Å.
Fractional positions:
Y  0.0000  0.0000  0.0000  2 S 2.59, 4 P 2.66
Ag  0.5000  0.5000  0.5000  8 P 3.71, 4 S 3.76
P  0.0000  0.5000  0.0000  2 Y 2.66
P  0.5000  0.0000  0.0000  2 Y 2.66
S  0.0000  0.0000  0.5000  2 Y 2.59

---

b:
Here is a relaxed YAgP2S crystal from Alexandria via LeMat-Bulk. Energies are from PBE.

Unit cell a=4.7406 b=4.7406 c=4.8966 alpha=90.00 beta=90.00 gamma=90.00
Last column: nearest neighbours and their distance in Å.
Fractional positions:
Y  0.0000  0.0000  0.0000  4 S 3.35, 8 P 3.41
Ag  0.5000  0.5000  0.5000  4 P 2.37, 2 S 2.45
P  0.0000  0.5000  0.5000  2 Ag 2.37
P  0.5000  0.0000  0.5000  2 Ag 2.37
S  0.5000  0.5000  0.0000  2 Ag 2.45

---

The most stable of them is b.

---

a:
Here is a relaxed ZrAgPS2 crystal from Alexandria via LeMat-Bulk. Energies are from PBE.

Unit cell a=4.9736 b=4.9736 c=5.0898 alpha=90.00 beta=90.00 gamma=90.00
Last column: nearest neighbours and their distance in Å.
Fractional positions:
Zr  0.0000  0.0000  0.0000  4 S 2.49, 2 P 2.54
Ag  0.5000  0.5000  0.5000  4 P 3.52, 8 S 3.56
P  0.0000  0.0000  0.5000  2 Zr 2.54
S  0.0000  0.5000  0.0000  2 Zr 2.49
S  0.5000  0.0000  0.0000  2 Zr 2.49

---

b:
Here is a relaxed ZrAgPS2 crystal from Alexandria via LeMat-Bulk. Energies are from PBE.

Unit cell a=4.6968 b=4.6968 c=4.7637 alpha=90.00 beta=90.00 gamma=90.00
Last column: nearest neighbours and their distance in Å.
Fractional positions:
Zr  0.0000  0.0000  0.0000  4 P 3.32, 8 S 3.34
Ag  0.5000  0.5000  0.5000  4 S 2.35, 2 P 2.38
P  0.5000  0.5000  0.0000  2 Ag 2.38
S  0.0000  0.5000  0.5000  2 Ag 2.35
S  0.5000  0.0000  0.5000  2 Ag 2.35

---

The most stable of them is a.

---

a:
Here is a relaxed AgSbP crystal from Alexandria via LeMat-Bulk. Energies are from PBE.

Unit cell a=6.8934 b=5.7759 c=6.8169 alpha=90.00 beta=90.00 gamma=90.00
Last column: nearest neighbours and their distance in Å.
Fractional positions:
Ag  0.0082  0.2500  0.0323  2 P 2.52-2.54
Ag  0.4918  0.7500  0.5323  2 P 2.52-2.54
Ag  0.5082  0.2500  0.4677  2 P 2.52-2.54
Ag  0.9918  0.7500  0.9677  2 P 2.52-2.54
Sb  0.1317  0.2500  0.6363  3 P 2.58-2.89, 2 Ag 2.83-2.84
Sb  0.3683  0.7500  0.1363  3 P 2.58-2.89, 2 Ag 2.83-2.84
Sb  0.6317  0.2500  0.8637  3 P 2.58-2.89, 2 Ag 2.83-2.84
Sb  0.8683  0.7500  0.3637  3 P 2.58-2.89, 2 Ag 2.83-2.84
P  0.1357  0.7500  0.6284  2 Ag 2.52-2.54, 1 Sb 2.58
P  0.3643  0.2500  0.1284  2 Ag 2.52-2.54, 1 Sb 2.58
P  0.6357  0.7500  0.8716  2 Ag 2.52-2.54, 1 Sb 2.58
P  0.8643  0.2500  0.3716  2 Ag 2.52-2.54, 1 Sb 2.58

---

b:
Here is a relaxed AgSbP crystal from Alexandria via LeMat-Bulk. Energies are from PBE.

Unit cell a=3.9921 b=5.9875 c=6.3273 alpha=66.02 beta=72.99 gamma=73.09
Last column: nearest neighbours and their distance in Å.
Fractional positions:
Ag  0.0902  0.2360  0.0132  3 P 2.67-2.88, 1 Sb 2.92, 1 Ag 2.98
Ag  0.9098  0.7640  0.9868  3 P 2.67-2.88, 1 Sb 2.92, 1 Ag 2.98
Sb  0.3615  0.3011  0.3617  2 P 2.56-2.66
Sb  0.6385  0.6989  0.6383  2 P 2.56-2.66
P  0.2241  0.7648  0.3046  2 Sb 2.56-2.66, 2 Ag 2.67
P  0.7759  0.2352  0.6954  2 Sb 2.56-2.66, 2 Ag 2.67

---

c:
Here is a relaxed AgSbP crystal from Alexandria via LeMat-Bulk. Energies are from PBE.

Unit cell a=9.9714 b=3.7606 c=7.5342 alpha=90.00 beta=90.00 gamma=90.00
Last column: nearest neighbours and their distance in Å.
Fractional positions:
Ag  0.1163  0.2500  0.0004  1 P 2.48
Ag  0.3837  0.7500  0.5004  1 P 2.48
Ag  0.6163  0.2500  0.4996  1 P 2.48
Ag  0.8837  0.7500  0.9996  1 P 2.48
Sb  0.1557  0.2500  0.3762  3 P 2.60-2.80, 1 Ag 2.86
Sb  0.3443  0.7500  0.8762  3 P 2.60-2.80, 1 Ag 2.86
Sb  0.6557  0.2500  0.1238  3 P 2.60-2.80, 1 Ag 2.86
Sb  0.8443  0.7500  0.6238  3 P 2.60-2.80, 1 Ag 2.86
P  0.0157  0.2500  0.6988  1 Ag 2.48, 2 Sb 2.60
P  0.4843  0.7500  0.1988  1 Ag 2.48, 2 Sb 2.60
P  0.5157  0.2500  0.8012  1 Ag 2.48, 2 Sb 2.60
P  0.9843  0.7500  0.3012  1 Ag 2.48, 2 Sb 2.60

---

The most stable of them is b.

---

a:
Here is a relaxed AgSbTe2P crystal from Alexandria via LeMat-Bulk. Energies are from PBE.

Unit cell a=5.3637 b=5.3637 c=5.2846 alpha=90.00 beta=90.00 gamma=90.00
Last column: nearest neighbours and their distance in Å.
Fractional positions:
Ag  0.0000  0.0000  0.0000  2 Sb 2.64, 4 Te 2.68
Sb  0.0000  0.0000  0.5000  2 Ag 2.64
Te  0.0000  0.5000  0.0000  2 Ag 2.68
Te  0.5000  0.0000  0.0000  2 Ag 2.68
P  0.5000  0.5000  0.5000  8 Te 3.76, 4 Sb 3.79

---

b:
Here is a relaxed AgSbTe2P crystal from Alexandria via LeMat-Bulk. Energies are from PBE.

Unit cell a=5.3846 b=5.3846 c=5.0214 alpha=90.00 beta=90.00 gamma=90.00
Last column: nearest neighbours and their distance in Å.
Fractional positions:
Ag  0.0000  0.0000  0.0000  8 Te 3.68, 4 Sb 3.81
Sb  0.5000  0.5000  0.0000  2 P 2.51
Te  0.0000  0.5000  0.5000  2 P 2.69
Te  0.5000  0.0000  0.5000  2 P 2.69
P  0.5000  0.5000  0.5000  2 Sb 2.51, 4 Te 2.69

---

The most stable of them is b.

---

a:
Here is a relaxed AgSb2TeP crystal from Alexandria via LeMat-Bulk. Energies are from PBE.

Unit cell a=5.3071 b=5.3071 c=5.3502 alpha=90.00 beta=90.00 gamma=90.00
Last column: nearest neighbours and their distance in Å.
Fractional positions:
Ag  0.0000  0.0000  0.0000  4 Sb 2.65, 2 Te 2.68
Sb  0.0000  0.5000  0.0000  2 Ag 2.65
Sb  0.5000  0.0000  0.0000  2 Ag 2.65
Te  0.0000  0.0000  0.5000  2 Ag 2.68
P  0.5000  0.5000  0.5000  4 Te 3.75, 8 Sb 3.77

---

b:
Here is a relaxed AgSb2TeP crystal from Alexandria via LeMat-Bulk. Energies are from PBE.

Unit cell a=5.1766 b=5.1766 c=5.3407 alpha=90.00 beta=90.00 gamma=90.00
Last column: nearest neighbours and their distance in Å.
Fractional positions:
Ag  0.0000  0.0000  0.0000  4 Te 3.66, 8 Sb 3.72
Sb  0.0000  0.5000  0.5000  2 P 2.59
Sb  0.5000  0.0000  0.5000  2 P 2.59
Te  0.5000  0.5000  0.0000  2 P 2.67
P  0.5000  0.5000  0.5000  4 Sb 2.59, 2 Te 2.67

---

The most stable of them is b.

---

a:
Here is a relaxed ScAg2P crystal from Alexandria via LeMat-Bulk. Energies are from PBE.

Unit cell a=6.6263 b=6.6263 c=6.6263 alpha=90.00 beta=90.00 gamma=90.00
Last column: nearest neighbours and their distance in Å.
Fractional positions:
Sc  0.0000  0.0000  0.0000  8 Ag 2.87
Sc  0.0000  0.5000  0.5000  8 Ag 2.87
Sc  0.5000  0.0000  0.5000  8 Ag 2.87
Sc  0.5000  0.5000  0.0000  8 Ag 2.87
Ag  0.2500  0.2500  0.2500  4 Sc 2.87, 4 P 2.87
Ag  0.2500  0.2500  0.7500  4 Sc 2.87, 4 P 2.87
Ag  0.2500  0.7500  0.2500  4 Sc 2.87, 4 P 2.87
Ag  0.2500  0.7500  0.7500  4 Sc 2.87, 4 P 2.87
Ag  0.7500  0.2500  0.2500  4 Sc 2.87, 4 P 2.87
Ag  0.7500  0.2500  0.7500  4 Sc 2.87, 4 P 2.87
Ag  0.7500  0.7500  0.2500  4 Sc 2.87, 4 P 2.87
Ag  0.7500  0.7500  0.7500  4 Sc 2.87, 4 P 2.87
P  0.0000  0.0000  0.5000  8 Ag 2.87
P  0.0000  0.5000  0.0000  8 Ag 2.87
P  0.5000  0.0000  0.0000  8 Ag 2.87
P  0.5000  0.5000  0.5000  8 Ag 2.87

---

b:
Here is a relaxed ScAg2P crystal from Alexandria via LeMat-Bulk. Energies are from PBE.

Unit cell a=3.8499 b=3.8499 c=9.8289 alpha=90.00 beta=90.00 gamma=90.00
Last column: nearest neighbours and their distance in Å.
Fractional positions:
Sc  0.0000  0.0000  0.0000  4 P 2.72
Sc  0.5000  0.5000  0.5000  4 P 2.72
Ag  0.0000  0.5000  0.2500  4 Ag 2.72
Ag  0.0000  0.5000  0.7500  4 Ag 2.72
Ag  0.5000  0.0000  0.2500  4 Ag 2.72
Ag  0.5000  0.0000  0.7500  4 Ag 2.72
P  0.0000  0.0000  0.5000  4 Sc 2.72
P  0.5000  0.5000  0.0000  4 Sc 2.72

---

c:
Here is a relaxed ScAg2P crystal from Alexandria via LeMat-Bulk. Energies are from PBE.

Unit cell a=3.7335 b=3.7335 c=5.3627 alpha=90.00 beta=90.00 gamma=90.00
Last column: nearest neighbours and their distance in Å.
Fractional positions:
Sc  0.0000  0.0000  0.0000  2 P 2.68, 8 Ag 2.97
Ag  0.5000  0.5000  0.2526  2 Ag 2.65-2.71, 4 P 2.95, 4 Sc 2.97
Ag  0.5000  0.5000  0.7474  2 Ag 2.65-2.71, 4 P 2.95, 4 Sc 2.97
P  0.0000  0.0000  0.5000  2 Sc 2.68, 8 Ag 2.95

---

The most stable of them is b.